## MgAgAu2 (PBE)

Data for crystalline MgAgAu2 at its relaxed geometry.

Cell: 5.2144 3.0851 9.2142 Å, 90.00 100.28 90.00°
Closest atoms and distances in Å follow each position.
Space group Cm (No. 8)
One atom of each set of equivalent atoms:
Mg  0.0000  0.0000  0.0000 (multiplicity 2)  6 Au 2.78-2.80, 6 Mg 3.03-3.09
Ag  0.1616  0.0000  0.4999 (multiplicity 2)  6 Au 2.95-2.96, 6 Ag 3.03-3.09
Au  0.0830  0.5000  0.7620 (multiplicity 2)  3 Mg 2.78-2.80, 3 Ag 2.96, 6 Au 3.03-3.09
Au  0.4152  0.0000  0.2378 (multiplicity 2)  3 Mg 2.78-2.79, 3 Ag 2.95-2.96, 6 Au 3.03-3.09

Output
**VASP energy**: -2.950 eV/atom
**N(E_F)**: 2.5 states/eV/cell
**ΔH_f (0 K)**: -0.200 eV/atom


## TbNdSc2Hg4 (PBE)

Data for crystalline TbNdSc2Hg4 at its relaxed geometry.

Cell: 5.1766 5.1766 25.4842 Å, 90.00 90.00 120.00°
Closest atoms and distances in Å follow each position.
Space group R-3m (No. 166, hexagonal axes)
One atom of each set of equivalent atoms:
Tb  0.0000  0.0000  0.0000 (multiplicity 3)  8 Hg 3.12-3.15
Nd  0.0000  0.0000  0.5000 (multiplicity 3)  8 Hg 3.19-3.24
Sc  0.0000  0.0000  0.2504 (multiplicity 6)  8 Hg 3.12-3.26
Hg  0.0000  0.0000  0.1224 (multiplicity 6)  1 Tb 3.12, 4 Sc 3.15-3.26, 3 Nd 3.19
Hg  0.0000  0.0000  0.3729 (multiplicity 6)  4 Sc 3.12-3.19, 3 Tb 3.15, 1 Nd 3.24

Output
**VASP energy**: -3.342 eV/atom
**N(E_F)**: 24.8 states/eV/cell
**ΔH_f (0 K)**: -0.433 eV/atom


## K2AgSb4Au3 (PBE)

Data for crystalline K2AgSb4Au3 at its relaxed geometry.

Cell: 4.8494 4.8494 11.4497 Å, 90.00 90.00 90.00°
Closest atoms and distances in Å follow each position.
Space group P-4m2 (No. 115)
One atom of each set of equivalent atoms:
K  0.0000  0.5000  0.2430 (multiplicity 2)  8 Sb 3.66-3.81, 2 Ag 3.69, 6 Au 3.69-3.72
Ag  0.5000  0.5000  0.0000 (multiplicity 1)  4 Sb 2.85
Sb  0.0000  0.0000  0.5000 (multiplicity 1)  4 Au 2.86
Sb  0.0000  0.5000  0.8696 (multiplicity 2)  3 Au 2.72-2.85, 2 Ag 2.85
Sb  0.5000  0.5000  0.5000 (multiplicity 1)  4 Au 2.86
Au  0.0000  0.0000  0.0000 (multiplicity 1)  4 Sb 2.85
Au  0.0000  0.5000  0.6322 (multiplicity 2)  5 Sb 2.72-2.86

Output
**VASP energy**: -3.411 eV/atom
**N(E_F)**: 3.8 states/eV/cell
**Raw formation energy**: -0.27 eV per atom


## CaY2AgSe4 (PBE)

Data for crystalline CaY2AgSe4 at its relaxed geometry.

Cell: 7.0538 4.1140 7.2989 Å, 90.00 109.62 90.00°
Closest atoms and distances in Å follow each position.
Space group P2/m (No. 10)
One atom of each set of equivalent atoms:
Ca  0.0000  0.0000  0.0000 (multiplicity 1)  6 Se 2.94-2.97
Y  0.0000  0.5000  0.5000 (multiplicity 1)  6 Se 2.90-2.91
Y  0.5000  0.0000  0.5000 (multiplicity 1)  6 Se 2.89
Ag  0.5000  0.5000  0.0000 (multiplicity 1)  6 Se 2.93-2.96
Se  0.2517  0.0000  0.7447 (multiplicity 2)  3 Y 2.89-2.91, 2 Ag 2.93, 1 Ca 2.97
Se  0.2516  0.5000  0.2562 (multiplicity 2)  3 Y 2.89-2.90, 2 Ca 2.94, 1 Ag 2.96

Output
**VASP energy**: -5.495 eV/atom
**N(E_F)**: 3.0 states/eV/cell
**Raw formation energy**: -1.53 eV per atom


## ZrBeRe (PBE)

Data for crystalline ZrBeRe at its relaxed geometry.

Cell: 5.0983 5.1164 7.0910 Å, 90.00 90.00 90.00°
Closest atoms and distances in Å follow each position.
Space group Imma (No. 74)
One atom of each set of equivalent atoms:
Zr  0.0000  0.2500  0.1280 (multiplicity 4)  6 Re 2.93-2.99, 6 Be 2.97-2.99, 4 Zr 3.08-3.14
Be  0.2500  0.2500  0.7500 (multiplicity 4)  4 Re 2.53, 2 Be 2.55
Re  0.0000  0.0000  0.5000 (multiplicity 4)  4 Be 2.53, 2 Re 2.56

Output
**VASP energy**: -8.516 eV/atom
**N(E_F)**: 6.7 states/eV/cell
**ΔH_f (0 K)**: -0.275 eV/atom
**Excess energy over the best structure of this formula in the dataset**: 0.0 meV per atom


## Re2Au (PBE)

Data for crystalline Re2Au at its relaxed geometry.

Cell: 2.8063 2.8063 7.0514 Å, 90.00 90.00 120.00°
Closest atoms and distances in Å follow each position.
Space group P-3m1 (No. 164)
One atom of each set of equivalent atoms:
Re  0.3333  0.6667  0.3525 (multiplicity 2)  9 Re 2.64-2.81
Au  0.0000  0.0000  0.0000 (multiplicity 1)  6 Au 2.81, 6 Re 2.97

Output
**VASP energy**: -9.172 eV/atom
**N(E_F)**: 1.8 states/eV/cell
**ΔH_f (0 K)**: 0.219 eV/atom
**Excess energy over the best structure of this formula in the dataset**: 0.0 meV per atom